A relaxed Ta3Se crystal, computed with PBEsol.

a = 6.5158 Å, b = 6.5158 Å, c = 6.5158 Å
α = 90.00°, β = 90.00°, γ = 90.00°
Space group Fm-3m (No. 225)
Symmetry-distinct sites (fractional):
Ta (0.0000, 0.0000, 0.0000) x4
Ta (0.2500, 0.2500, 0.2500) x8
Se (0.0000, 0.0000, 0.5000) x4

Values from the calculation:
Energy above the most stable polymorph in this dataset, eV per atom: 0.2792
ΔE_f (raw), meV per atom: 287